# 1
VASP calculation (GGA-PBE) on an optimized crystal structure of Pd2PbW.

Summary:
* space group: F-43m (216)
* total magnetic moment: 0.588 μB per cell
* calculated total energy: -6.308 eV/atom

a = 4.6223 Å, b = 4.6223 Å, c = 4.6223 Å
α = 60.00°, β = 60.00°, γ = 60.00°
Sites, in units of the cell vectors:
Pd1 0.0000 0.0000 0.0000
Pd2 0.2500 0.2500 0.2500
Pb1 0.5000 0.5000 0.5000
W1 0.7500 0.7500 0.7500

# 2
VASP calculation (GGA-PBE) on an optimized crystal structure of Pd2Pb4W.

Summary:
* space group: C2/m (12)
* total magnetic moment: 1.940 μB per cell
* calculated total energy: -4.902 eV/atom

a = 6.0135 Å, b = 6.0135 Å, c = 5.1737 Å
α = 98.27°, β = 98.27°, γ = 65.05°
Sites, in units of the cell vectors:
Pd1 0.1085 0.1085 0.2038
Pd2 0.8915 0.8915 0.7962
Pb1 0.0920 0.6134 0.2927
Pb2 0.3866 0.9080 0.7073
Pb3 0.6134 0.0920 0.2927
Pb4 0.9080 0.3866 0.7073
W1 0.5000 0.5000 0.0000

# 3
VASP calculation (GGA-PBE) on an optimized crystal structure of Y3Pd4Pb.

Summary:
* space group: Pm (6)
* total magnetic moment: 0.017 μB per cell
* calculated total energy: -6.255 eV/atom

a = 5.5975 Å, b = 4.5068 Å, c = 6.9488 Å
α = 90.00°, β = 91.59°, γ = 90.00°
Sites, in units of the cell vectors:
Y1 0.0000 0.0000 0.0000
Y2 0.2346 0.0000 0.5051
Y3 0.7280 0.5000 0.3608
Pd1 0.0218 0.5000 0.7226
Pd2 0.2119 0.5000 0.2214
Pd3 0.5127 0.0000 0.1377
Pd4 0.7252 0.0000 0.6358
Pb1 0.5105 0.5000 0.8568

# 4
VASP calculation (GGA-PBE) on an optimized crystal structure of YPd4Pb3.

Summary:
* space group: Pm (6)
* total magnetic moment: 0.000 μB per cell
* calculated total energy: -5.242 eV/atom

a = 5.7712 Å, b = 4.4648 Å, c = 6.5950 Å
α = 90.00°, β = 90.97°, γ = 90.00°
Sites, in units of the cell vectors:
Y1 0.0000 0.0000 0.0000
Pd1 0.3028 0.0000 0.6424
Pd2 0.4796 0.0000 0.1525
Pd3 0.7892 0.5000 0.2218
Pd4 0.9871 0.5000 0.7139
Pb1 0.2629 0.5000 0.3475
Pb2 0.5085 0.5000 0.8568
Pb3 0.7827 0.0000 0.5043

# 5
VASP calculation (GGA-PBE) on an optimized crystal structure of YPdPb2.

Summary:
* space group: F-43m (216)
* total magnetic moment: 0.007 μB per cell
* calculated total energy: -5.045 eV/atom

a = 5.2102 Å, b = 5.2102 Å, c = 5.2102 Å
α = 60.00°, β = 60.00°, γ = 60.00°
Sites, in units of the cell vectors:
Y1 0.0000 0.0000 0.0000
Pd1 0.2500 0.2500 0.2500
Pb1 0.5000 0.5000 0.5000
Pb2 0.7500 0.7500 0.7500

# 6
VASP calculation (GGA-PBE) on an optimized crystal structure of ZnPdPb2.

Summary:
* space group: F-43m (216)
* calculated total energy: -3.324 eV/atom

a = 5.0628 Å, b = 5.0628 Å, c = 5.0628 Å
α = 60.00°, β = 60.00°, γ = 60.00°
Sites, in units of the cell vectors:
Zn1 0.0000 0.0000 0.0000
Pd1 0.7500 0.7500 0.7500
Pb1 0.2500 0.2500 0.2500
Pb2 0.5000 0.5000 0.5000

# 7
VASP calculation (GGA-PBE) on an optimized crystal structure of ZnPd2Pb.

Summary:
* space group: F-43m (216)
* calculated total energy: -3.975 eV/atom

a = 4.6673 Å, b = 4.6673 Å, c = 4.6673 Å
α = 60.00°, β = 60.00°, γ = 60.00°
Sites, in units of the cell vectors:
Zn1 0.0000 0.0000 0.0000
Pd1 0.2500 0.2500 0.2500
Pd2 0.5000 0.5000 0.5000
Pb1 0.7500 0.7500 0.7500

# 8
VASP calculation (GGA-PBE) on an optimized crystal structure of ZrPdPb.

Summary:
* space group: P6_3mc (186)
* total magnetic moment: 0.001 μB per cell
* calculated total energy: -6.247 eV/atom

a = 4.6124 Å, b = 4.6124 Å, c = 6.9430 Å
α = 90.00°, β = 90.00°, γ = 120.00°
Sites, in units of the cell vectors:
Zr1 0.0000 0.0000 0.0000
Zr2 0.0000 0.0000 0.5000
Pd1 0.3333 0.6667 0.3376
Pd2 0.6667 0.3333 0.8376
Pb1 0.3333 0.6667 0.7401
Pb2 0.6667 0.3333 0.2401

# 9
VASP calculation (GGA-PBE) on an optimized crystal structure of PmPb.

Summary:
* space group: F-43m (216)
* total magnetic moment: 0.005 μB per cell
* calculated total energy: -3.906 eV/atom

a = 5.0315 Å, b = 5.0315 Å, c = 5.0315 Å
α = 60.00°, β = 60.00°, γ = 60.00°
Sites, in units of the cell vectors:
Pm1 0.0000 0.0000 0.0000
Pb1 0.2500 0.2500 0.2500

# 10
VASP calculation (GGA-PBE) on an optimized crystal structure of PmPb.

Summary:
* space group: Fm-3m (225)
* total magnetic moment: 0.002 μB per cell
* calculated total energy: -4.637 eV/atom

a = 4.5424 Å, b = 4.5424 Å, c = 4.5424 Å
α = 60.00°, β = 60.00°, γ = 60.00°
Sites, in units of the cell vectors:
Pm1 0.0000 0.0000 0.0000
Pb1 0.5000 0.5000 0.5000

# 11
VASP calculation (GGA-PBE) on an optimized crystal structure of PmPb.

Summary:
* space group: P-6m2 (187)
* total magnetic moment: 0.200 μB per cell
* calculated total energy: -4.575 eV/atom

a = 3.6426 Å, b = 3.6426 Å, c = 5.3544 Å
α = 90.00°, β = 90.00°, γ = 120.00°
Sites, in units of the cell vectors:
Pm1 0.0000 0.0000 0.0000
Pb1 0.3333 0.6667 0.5000

# 12
VASP calculation (GGA-PBE) on an optimized crystal structure of PmPrPb.

Summary:
* space group: F-43m (216)
* excess energy over the best structure of this formula in the dataset: 0 meV per atom
* total magnetic moment: 1.898 μB per cell

a = 5.3636 Å, b = 5.3636 Å, c = 5.3636 Å
α = 60.00°, β = 60.00°, γ = 60.00°
Sites, in units of the cell vectors:
Pm1 0.0000 0.0000 0.0000
Pr1 0.2500 0.2500 0.2500
Pb1 0.7500 0.7500 0.7500

# 13
VASP calculation (GGA-PBE) on an optimized crystal structure of PmPtPb.

Summary:
* space group: F-43m (216)
* total magnetic moment: 0.003 μB per cell
* calculated total energy: -5.106 eV/atom

a = 4.8593 Å, b = 4.8593 Å, c = 4.8593 Å
α = 60.00°, β = 60.00°, γ = 60.00°
Sites, in units of the cell vectors:
Pm1 0.0000 0.0000 0.0000
Pt1 0.5000 0.5000 0.5000
Pb1 0.2500 0.2500 0.2500

# 14
VASP calculation (GGA-PBE) on an optimized crystal structure of PmPtPb4.

Summary:
* space group: R-3m (166)
* total magnetic moment: 0.014 μB per cell
* calculated total energy: -4.408 eV/atom

a = 9.2567 Å, b = 9.2567 Å, c = 9.2567 Å
α = 30.21°, β = 30.21°, γ = 30.21°
Sites, in units of the cell vectors:
Pm1 0.0000 0.0000 0.0000
Pt1 0.5000 0.5000 0.5000
Pb1 0.2096 0.2096 0.2096
Pb2 0.3934 0.3934 0.3934
Pb3 0.6066 0.6066 0.6066
Pb4 0.7904 0.7904 0.7904

# 15
VASP calculation (GGA-PBE) on an optimized crystal structure of PmPt4Pb.

Summary:
* space group: F-43m (216)
* total magnetic moment: 0.004 μB per cell
* calculated total energy: -6.142 eV/atom

a = 5.4808 Å, b = 5.4808 Å, c = 5.4808 Å
α = 60.00°, β = 60.00°, γ = 60.00°
Sites, in units of the cell vectors:
Pm1 0.0000 0.0000 0.0000
Pt1 0.3750 0.3750 0.3750
Pt2 0.3750 0.3750 0.8751
Pt3 0.3750 0.8751 0.3750
Pt4 0.8751 0.3750 0.3750
Pb1 0.7500 0.7500 0.7500

# 16
VASP calculation (GGA-PBE) on an optimized crystal structure of RbPmPb.

Summary:
* space group: F-43m (216)
* total magnetic moment: 0.000 μB per cell
* calculated total energy: -2.938 eV/atom

a = 5.4952 Å, b = 5.4952 Å, c = 5.4952 Å
α = 60.00°, β = 60.00°, γ = 60.00°
Sites, in units of the cell vectors:
Rb1 0.0000 0.0000 0.0000
Pm1 0.7500 0.7500 0.7500
Pb1 0.5000 0.5000 0.5000

# 17
VASP calculation (GGA-PBE) on an optimized crystal structure of PmPbS2.

Summary:
* space group: P4/mmm (123)
* total magnetic moment: 0.002 μB per cell
* calculated total energy: -5.363 eV/atom

a = 4.1362 Å, b = 4.1362 Å, c = 5.8770 Å
α = 90.00°, β = 90.00°, γ = 90.00°
Sites, in units of the cell vectors:
Pm1 0.0000 0.0000 0.0000
Pb1 0.5000 0.5000 0.5000
S1 0.0000 0.0000 0.5000
S2 0.5000 0.5000 0.0000

# 18
VASP calculation (GGA-PBE) on an optimized crystal structure of PmSbPb.

Summary:
* space group: F-43m (216)
* total magnetic moment: 0.001 μB per cell
* calculated total energy: -4.421 eV/atom

a = 5.2730 Å, b = 5.2730 Å, c = 5.2730 Å
α = 60.00°, β = 60.00°, γ = 60.00°
Sites, in units of the cell vectors:
Pm1 0.0000 0.0000 0.0000
Sb1 0.2500 0.2500 0.2500
Pb1 0.7500 0.7500 0.7500

# 19
VASP calculation (GGA-PBE) on an optimized crystal structure of Pm5Sb2Pb2.

Summary:
* space group: Cmce (64)
* total magnetic moment: 0.044 μB per cell
* calculated total energy: -5.220 eV/atom

a = 8.9714 Å, b = 8.9714 Å, c = 8.4386 Å
α = 90.00°, β = 90.00°, γ = 55.66°
Sites, in units of the cell vectors:
Pm1 0.0000 0.0000 0.0000
Pm2 0.0302 0.6924 0.6640
Pm3 0.1924 0.5302 0.1640
Pm4 0.3076 0.9698 0.6640
Pm5 0.4698 0.8076 0.1640
Pm6 0.5000 0.5000 0.5000
Pm7 0.5302 0.1924 0.8360
Pm8 0.6924 0.0302 0.3360
Pm9 0.8076 0.4698 0.8360
Pm10 0.9698 0.3076 0.3360
Sb1 0.2016 0.2016 0.0000
Sb2 0.2984 0.2984 0.5000
Sb3 0.7016 0.7016 0.5000
Sb4 0.7984 0.7984 0.0000
Pb1 0.1355 0.8645 0.3642
Pb2 0.3645 0.6355 0.8642
Pb3 0.6355 0.3645 0.1358
Pb4 0.8645 0.1355 0.6358

# 20
VASP calculation (GGA-PBE) on an optimized crystal structure of PmScPb.

Summary:
* space group: F-43m (216)
* excess energy over the best structure of this formula in the dataset: 0 meV per atom
* total magnetic moment: 0.875 μB per cell

a = 5.0970 Å, b = 5.0970 Å, c = 5.0970 Å
α = 60.00°, β = 60.00°, γ = 60.00°
Sites, in units of the cell vectors:
Pm1 0.0000 0.0000 0.0000
Sc1 0.5000 0.5000 0.5000
Pb1 0.2500 0.2500 0.2500